*a*
The following is a PBE calculation of an optimized crystal structure of AcPm2Ho4, from Alexandria.

Calculated values
N(E_F) = 13.21 states/eV/f.u.

Unit cell a=8.636 b=8.636 c=6.579 alpha=90.00 beta=90.00 gamma=90.00
Space group I4/mmm (No. 139)
Symmetry-distinct sites (fractional):
1 Ac 0.000 0.000 0.000 (multiplicity 2)
2 Pm 0.000 0.500 0.250 (multiplicity 4)
3 Ho 0.196 0.196 0.500 (multiplicity 8)

---

*b*
The following is a PBE calculation of an optimized crystal structure of AcPm2Ho4, from Alexandria.

Calculated values
N(E_F) = 9.97 states/eV/f.u.

Unit cell a=6.291 b=8.114 c=9.583 alpha=85.08 beta=77.40 gamma=82.48
Space group P1 (No. 1)
Symmetry-distinct sites (fractional):
1 Ac 0.000 0.000 0.000 (multiplicity 1)
2 Ac 0.423 0.152 0.155 (multiplicity 1)
3 Pm 0.212 0.576 0.077 (multiplicity 1)
4 Pm 0.361 0.295 0.787 (multiplicity 1)
5 Pm 0.497 0.004 0.510 (multiplicity 1)
6 Pm 0.715 0.576 0.576 (multiplicity 1)
7 Ho 0.063 0.859 0.367 (multiplicity 1)
8 Ho 0.142 0.717 0.714 (multiplicity 1)
9 Ho 0.282 0.439 0.438 (multiplicity 1)
10 Ho 0.575 0.855 0.856 (multiplicity 1)
11 Ho 0.634 0.714 0.223 (multiplicity 1)
12 Ho 0.790 0.441 0.932 (multiplicity 1)
13 Ho 0.851 0.298 0.298 (multiplicity 1)
14 Ho 0.929 0.149 0.643 (multiplicity 1)

---

Which structure above is the least stable? It is *a*.